Below is crystalline YCoPF2 at its relaxed geometry, with properties calculated at the PBE with a Hubbard U level.

a b c (Å): 3.8337 3.8337 7.3255
angles (deg): 90.00 90.00 90.00
Fractional positions:
Y (0.0000, 0.0000, 0.0000)
Co (0.0000, 0.0000, 0.5000)
P (0.5000, 0.5000, 0.0000)
F (0.0000, 0.5000, 0.5000)
F (0.5000, 0.0000, 0.5000)

Its symmetry is No. 123. The total magnetization comes out at 0.563 μB/atom. The calculation puts the volume at 21.53 Å³ per atom. The total DFT energy (no corrections) is -27.1 eV/cell.